## CoAs2BrO (PBE+U)

Data for an optimized crystal structure of CoAs2BrO.

The energy above the most stable polymorph in this dataset comes out at 440 meV/atom. The calculation puts the total energy at -16.7 eV for the cell shown. As for the total magnetization: 0.477 μB/atom. The density of states at the Fermi level is 3.89 states/eV/f.u.

Unit cell a=4.4967 b=4.4967 c=4.9917 alpha=90.00 beta=90.00 gamma=90.00
Closest atoms and distances in Å follow each position.
Element x y z (fractional)
Co1 0.0000 0.0000 0.0000  4 As 2.25, 2 Br 2.50
As1 0.0000 0.5000 0.0000  2 Co 2.25
As2 0.5000 0.0000 0.0000  2 Co 2.25
Br1 0.0000 0.0000 0.5000  2 Co 2.50
O1 0.5000 0.5000 0.5000  4 Br 3.18, 8 As 3.36